NiAs2Ru (GGA-PBE, relaxed); magnetic moment = 0.000 μB/f.u.; crystal system = tetragonal; final energy = -24.30 eV/f.u.
1.0
3.0677 0.0000 0.0000
0.0000 3.0671 0.0000
0.0000 0.0000 6.1002
As Ni Ru
2 1 1
Cartesian
0.0000 0.0000 0.0306
0.0000 0.0000 3.0195
1.5339 1.5335 1.5251
1.5339 1.5335 4.5752